# 1
A plane-wave DFT calculation with PBE-GGA was carried out for a geometry-optimized LiYFe2C structure.

a = 3.8706 Å, b = 3.8706 Å, c = 4.1890 Å
α = 90.00°, β = 90.00°, γ = 90.00°
Last column: nearest neighbours and their distance in Å.
Space group P4/mmm (No. 123)
Symmetry-distinct sites (fractional):
Li (0.0000, 0.0000, 0.0000) x1  2 C 2.09
Y (0.5000, 0.5000, 0.0000) x1  4 Li 2.74, 8 Fe 2.85
Fe (0.0000, 0.5000, 0.5000) x2  2 C 1.94
C (0.0000, 0.0000, 0.5000) x1  4 Fe 1.94, 2 Li 2.09

Summary:
E_tot: -6.865 eV/atom
magnetic moment: 0.9 μB/cell
ΔE_f: 0.20 eV/f.u.
V: 12.55 A^3/atom

***

# 2
A plane-wave DFT calculation with PBE-GGA was carried out for a geometry-optimized Ce2B7Rh12 structure.

a = 8.9893 Å, b = 8.9893 Å, c = 3.8246 Å
α = 90.00°, β = 90.00°, γ = 120.00°
Last column: nearest neighbours and their distance in Å.
Space group P-6 (No. 174)
Symmetry-distinct sites (fractional):
Ce (0.0000, 0.0000, 0.0000) x1  12 Rh 2.97-3.31, 6 B 3.02
Ce (0.3333, 0.6667, 0.5000) x1  6 B 2.91, 9 Rh 2.93-3.10
B (0.0808, 0.4339, 0.0000) x3  5 Rh 2.10-2.32
B (0.2815, 0.2300, 0.5000) x3  2 Rh 2.09-2.23
B (0.6667, 0.3333, 0.0000) x1  3 Rh 2.12
Rh (0.0612, 0.2784, 0.5000) x3  4 B 2.23-2.38
Rh (0.1000, 0.6917, 0.0000) x3  4 B 2.17-2.43
Rh (0.3960, 0.1710, 0.0000) x3  2 B 2.10-2.12
Rh (0.5399, 0.4237, 0.5000) x3  1 B 2.09

Summary:
E_tot: -7.459 eV/atom
magnetic moment: 0.0 μB/cell
ΔE_f: -9.81 eV/f.u.
V: 12.75 A^3/atom

***

# 3
A plane-wave DFT calculation with PBE-GGA was carried out for a geometry-optimized LiZn4Au3 structure.

a = 17.8852 Å, b = 3.1503 Å, c = 4.5010 Å
α = 90.00°, β = 93.33°, γ = 90.00°
Last column: nearest neighbours and their distance in Å.
Space group C2/m (No. 12)
Symmetry-distinct sites (fractional):
Li (0.0000, 0.0000, 0.0000) x2  8 Au 2.75-2.80, 2 Zn 2.94
Zn (0.1211, 0.0000, 0.5863) x4  6 Au 2.69-2.77, 3 Zn 2.82-2.83, 1 Li 2.94
Zn (0.2491, 0.5000, 0.7388) x4  7 Zn 2.67-2.83, 3 Au 2.73-2.77
Au (0.0000, 0.5000, 0.5000) x2  4 Zn 2.69, 4 Li 2.75
Au (0.1287, 0.5000, 0.0835) x4  7 Zn 2.73-2.77, 2 Li 2.80, 1 Au 3.05

Summary:
E_tot: -2.369 eV/atom
magnetic moment: 0.0 μB/cell
ΔE_f: -2.11 eV/f.u.
energy above the most stable polymorph in this dataset: 0 meV/atom
V: 15.82 A^3/atom

***

# 4
A plane-wave DFT calculation with PBE-GGA was carried out for a geometry-optimized Er4Al3Rh structure.

a = 3.5218 Å, b = 3.5218 Å, c = 14.1261 Å
α = 90.00°, β = 90.00°, γ = 90.00°
Last column: nearest neighbours and their distance in Å.
Space group P4/mmm (No. 123)
Symmetry-distinct sites (fractional):
Er (0.0000, 0.0000, 0.1136) x2  4 Rh 2.96, 4 Al 3.09, 1 Er 3.21
Er (0.0000, 0.0000, 0.3709) x2  8 Al 3.07-3.09
Al (0.5000, 0.5000, 0.2435) x2  8 Er 3.07-3.09, 1 Rh 3.44
Al (0.5000, 0.5000, 0.5000) x1  8 Er 3.09
Rh (0.5000, 0.5000, 0.0000) x1  8 Er 2.96

Summary:
E_tot: -5.143 eV/atom
magnetic moment: 0.0 μB/cell
ΔE_f: -4.32 eV/f.u.
V: 21.90 A^3/atom

***

# 5
A plane-wave DFT calculation with PBE-GGA was carried out for a geometry-optimized CdAg2HPd structure.

a = 4.4243 Å, b = 4.4243 Å, c = 3.7720 Å
α = 90.00°, β = 90.00°, γ = 90.00°
Last column: nearest neighbours and their distance in Å.
Space group P4/mmm (No. 123)
Symmetry-distinct sites (fractional):
Cd (0.0000, 0.0000, 0.0000) x1  8 Ag 2.91, 4 Pd 3.13
Ag (0.0000, 0.5000, 0.5000) x2  2 H 2.21
H (0.5000, 0.5000, 0.5000) x1  2 Pd 1.89
Pd (0.5000, 0.5000, 0.0000) x1  2 H 1.89

Summary:
E_tot: -3.088 eV/atom
magnetic moment: 0.0 μB/cell
energy above the most stable polymorph in this dataset: 0 meV/atom
V: 14.77 A^3/atom

***

# 6
A plane-wave DFT calculation with PBE-GGA was carried out for a geometry-optimized SbSN3 structure.

a = 4.0221 Å, b = 4.0221 Å, c = 4.0221 Å
α = 90.00°, β = 90.00°, γ = 90.00°
Last column: nearest neighbours and their distance in Å.
Space group Pm-3m (No. 221)
Symmetry-distinct sites (fractional):
Sb (0.0000, 0.0000, 0.0000) x1  6 N 2.01
S (0.5000, 0.5000, 0.5000) x1  12 N 2.84
N (0.0000, 0.0000, 0.5000) x3  2 Sb 2.01

Summary:
E_tot: -4.544 eV/atom
magnetic moment: 0.0 μB/cell
V: 13.01 A^3/atom
uncorrected formation energy: 2.10 eV/atom

***

# 7
A plane-wave DFT calculation with PBE-GGA was carried out for a geometry-optimized Zn2CuSi2Ni5 structure.

a = 8.4765 Å, b = 8.4765 Å, c = 3.4186 Å
α = 90.00°, β = 90.00°, γ = 90.00°
Last column: nearest neighbours and their distance in Å.
Space group P4/mbm (No. 127)
Symmetry-distinct sites (fractional):
Zn (0.1708, 0.3292, 0.0000) x4  3 Si 2.40-2.57, 2 Ni 2.67
Cu (0.0000, 0.0000, 0.0000) x2  8 Ni 2.50
Si (0.1291, 0.6291, 0.0000) x4  6 Ni 2.28-2.31, 1 Zn 2.40
Ni (0.0000, 0.5000, 0.5000) x2  4 Si 2.31
Ni (0.0752, 0.7984, 0.5000) x8  2 Si 2.28, 2 Cu 2.50

Summary:
E_tot: -4.837 eV/atom
magnetic moment: 0.0 μB/cell
V: 12.28 A^3/atom
uncorrected formation energy: -0.20 eV/atom

***

# 8
A plane-wave DFT calculation with PBE-GGA was carried out for a geometry-optimized FeIr2Au structure.

a = 2.7649 Å, b = 2.7649 Å, c = 7.7943 Å
α = 90.00°, β = 90.00°, γ = 90.00°
Last column: nearest neighbours and their distance in Å.
Space group P4mm (No. 99)
Symmetry-distinct sites (fractional):
Fe (0.0000, 0.0000, 0.0000) x1  4 Ir 2.66, 4 Fe 2.76, 4 Au 2.77
Ir (0.0000, 0.0000, 0.4687) x1  8 Ir 2.69-2.76, 4 Au 2.93
Ir (0.5000, 0.5000, 0.2319) x1  4 Fe 2.66, 8 Ir 2.69-2.76
Au (0.5000, 0.5000, 0.7484) x1  4 Au 2.76, 4 Fe 2.77, 4 Ir 2.93

Summary:
E_tot: -7.230 eV/atom
magnetic moment: 2.8 μB/cell
ΔE_f: 0.54 eV/f.u.
energy above the most stable polymorph in this dataset: 9 meV/atom
V: 14.90 A^3/atom

***

# 9
A plane-wave DFT calculation with PBE-GGA was carried out for a geometry-optimized Ac3GaO6 structure.

a = 9.7870 Å, b = 12.3023 Å, c = 5.8619 Å
α = 90.00°, β = 90.00°, γ = 90.00°
Last column: nearest neighbours and their distance in Å.
Space group Cmc2_1 (No. 36)
Symmetry-distinct sites (fractional):
Ac (0.0000, 0.1060, 0.0000) x4  7 O 2.50-2.72
Ac (0.1936, 0.3917, 0.9659) x8  5 O 2.44-2.64
Ga (0.0000, 0.3082, 0.4255) x4  4 O 1.88-1.91
O (0.0000, 0.2873, 0.7426) x4  1 Ga 1.88
O (0.0000, 0.4513, 0.3057) x4  1 Ga 1.90
O (0.1489, 0.2409, 0.2700) x8  1 Ga 1.91
O (0.1584, 0.0103, 0.7294) x8  4 Ac 2.44-2.51

Summary:
E_tot: -7.545 eV/atom
magnetic moment: 0.0 μB/cell
V: 17.64 A^3/atom
uncorrected formation energy: -3.03 eV/atom

***

# 10
A plane-wave DFT calculation with PBE-GGA was carried out for a geometry-optimized B structure.

a = 4.8821 Å, b = 4.8821 Å, c = 5.7055 Å
α = 90.00°, β = 90.00°, γ = 90.00°
Last column: nearest neighbours and their distance in Å.
Space group P4_12_12 (No. 92)
Symmetry-distinct sites (fractional):
B (0.0220, 0.3760, 0.2680) x8  4 B 1.67-1.76
B (0.0724, 0.8998, 0.6021) x8  4 B 1.67-1.76

Summary:
E_tot: -6.318 eV/atom
magnetic moment: 0.0 μB/cell
ΔE_f: 0.36 eV/f.u.
energy above the most stable polymorph in this dataset: 359 meV/atom
V: 8.50 A^3/atom

***

# 11
A plane-wave DFT calculation with PBE-GGA was carried out for a geometry-optimized BiTePO2 structure.

a = 4.1653 Å, b = 4.1653 Å, c = 5.3101 Å
α = 90.00°, β = 90.00°, γ = 90.00°
Last column: nearest neighbours and their distance in Å.
Space group P4/mmm (No. 123)
Symmetry-distinct sites (fractional):
Bi (0.0000, 0.0000, 0.0000) x1  4 P 2.95
Te (0.5000, 0.5000, 0.5000) x1  4 O 2.08
P (0.5000, 0.5000, 0.0000) x1  2 Te 2.66, 4 Bi 2.95
O (0.0000, 0.5000, 0.5000) x2  2 Te 2.08

Summary:
E_tot: -4.695 eV/atom
magnetic moment: 0.0 μB/cell
energy above the most stable polymorph in this dataset: 0 meV/atom
V: 18.43 A^3/atom
uncorrected formation energy: -0.22 eV/atom

***

# 12
A plane-wave DFT calculation with PBE-GGA was carried out for a geometry-optimized GaI3O structure.

a = 5.1916 Å, b = 5.1916 Å, c = 5.1916 Å
α = 90.00°, β = 90.00°, γ = 90.00°
Last column: nearest neighbours and their distance in Å.
Space group Pm-3m (No. 221)
Symmetry-distinct sites (fractional):
Ga (0.0000, 0.0000, 0.0000) x1  12 I 3.67
I (0.0000, 0.5000, 0.5000) x3  2 O 2.60
O (0.5000, 0.5000, 0.5000) x1  6 I 2.60

Summary:
E_tot: -2.325 eV/atom
magnetic moment: 0.0 μB/cell
energy above the most stable polymorph in this dataset: 0 meV/atom
V: 27.99 A^3/atom
uncorrected formation energy: 0.20 eV/atom